First-principles (PBE with a Hubbard U) data for a relaxed NaPrCuWO6 crystal, as listed in the Alexandria database.

It has space group P-4n2 (No. 118), with a = 5.321 Å, b = 5.321 Å, c = 8.746 Å, α = 90.00°, β = 90.00° and γ = 90.00°. The inequivalent atoms are Na at (0.000, 0.500, 0.250), Pr at (0.000, 0.500, 0.750), Cu at (0.000, 0.000, 0.000), W at (0.000, 0.000, 0.500), O at (0.000, 0.000, 0.276) and O at (0.183, 0.315, 0.509).

The total moment is 0.86 μB per formula unit. The calculation puts the density of states at the Fermi level at 0.114 states/eV per atom. The density comes out at 6.80 g/cm³. For the uncorrected energy, the calculation gives -6.717 eV/atom.